1.
This record from Alexandria via LeMat-Bulk describes a relaxed structure of Ti2NbPt2. The functional is GGA-PBE.

Cell lengths 7.604, 7.604, 2.885 Å; angles 90.00, 90.00, 90.00 degrees
Space group P4/mbm (No. 127)
Asymmetric unit:
Ti1 0.167 0.333 0.000 [4 per cell]
Nb1 0.000 0.000 0.500 [2 per cell]
Pt1 0.131 0.631 0.500 [4 per cell]

Results
The value obtained for the relative energy among the computed polymorphs is 0 meV/atom.

2.
This record from Alexandria via LeMat-Bulk describes a relaxed structure of K2IrCl6. The functional is GGA-PBE.

Cell lengths 6.696, 6.696, 13.138 Å; angles 90.00, 90.00, 90.00 degrees
Space group P4_2/mnm (No. 136)
Asymmetric unit:
K1 0.000 0.000 0.167 [4 per cell]
Ir1 0.000 0.000 0.500 [2 per cell]
Cl1 0.173 0.173 0.372 [8 per cell]
Cl2 0.246 0.754 0.500 [4 per cell]

Results
The calculation puts the energy relative to the elements, uncorrected at -1.1021 eV/atom.

3.
This record from Alexandria via LeMat-Bulk describes a relaxed structure of Ca3Ho2PuTe6. The functional is GGA-PBE.

Cell lengths 7.649, 13.254, 7.747 Å; angles 90.00, 109.23, 90.00 degrees
Space group C2/m (No. 12)
Asymmetric unit:
Ca1 0.000 0.000 0.000 [2 per cell]
Ca2 0.000 0.335 0.000 [4 per cell]
Ho1 0.000 0.167 0.500 [4 per cell]
Pu1 0.000 0.500 0.500 [2 per cell]
Te1 0.242 0.000 0.744 [4 per cell]
Te2 0.248 0.170 0.254 [8 per cell]

Results
The calculation puts the energy relative to the elements, uncorrected at -1.4040 eV/atom.

4.
This record from Alexandria via LeMat-Bulk describes a relaxed structure of SnHg2BiTe. The functional is GGA-PBE.

Cell lengths 5.390, 5.390, 6.169 Å; angles 90.00, 90.00, 90.00 degrees
Space group P4/mmm (No. 123)
Asymmetric unit:
Sn1 0.000 0.000 0.000 [1 per cell]
Hg1 0.000 0.500 0.000 [2 per cell]
Bi1 0.000 0.000 0.500 [1 per cell]
Te1 0.500 0.500 0.500 [1 per cell]

Results
The calculation puts the energy relative to the elements, uncorrected at 0.2860 eV/atom.

5.
This record from Alexandria via LeMat-Bulk describes a relaxed structure of Rb4CeTm3Se8. The functional is GGA-PBE.

Cell lengths 8.5030, 8.5030, 23.9585 Å; angles 90.00, 90.00, 120.00 degrees
Space group R-3m (No. 166, hexagonal axes)
Asymmetric unit:
Rb1 0.0000 0.0000 0.0000 [3 per cell]
Rb2 0.0000 0.5000 0.0000 [9 per cell]
Ce1 0.0000 0.0000 0.5000 [3 per cell]
Tm1 0.0000 0.5000 0.5000 [9 per cell]
Se1 0.0000 0.0000 0.2307 [6 per cell]
Se2 0.0104 0.5052 0.7682 [18 per cell]

Results
The calculation puts the energy relative to the elements, uncorrected at -1.7040 eV/atom.

6.
This record from Alexandria via LeMat-Bulk describes a relaxed structure of KCrCl2. The functional is GGA-PBE.

Cell lengths 6.260, 6.260, 13.240 Å; angles 90.00, 90.00, 90.00 degrees
Space group I-42d (No. 122)
Asymmetric unit:
K1 0.000 0.000 0.000 [4 per cell]
Cr1 0.000 0.000 0.500 [4 per cell]
Cl1 0.174 0.250 0.625 [8 per cell]

Results
The calculation puts the energy relative to the elements, uncorrected at -0.9496 eV/atom. The value obtained for the relative energy among the computed polymorphs is 39 meV/atom.

7.
This record from Alexandria via LeMat-Bulk describes a relaxed structure of Sr2PuTc2N6. The functional is GGA-PBE.

Cell lengths 6.0684, 6.0684, 17.6930 Å; angles 90.00, 90.00, 120.00 degrees
Space group R-3m (No. 166, hexagonal axes)
Asymmetric unit:
Sr1 0.0000 0.0000 0.2141 [6 per cell]
Pu1 0.0000 0.0000 0.0000 [3 per cell]
Tc1 0.0000 0.0000 0.4321 [6 per cell]
N1 0.0085 0.5043 0.7460 [18 per cell]

Results
The calculation puts the energy relative to the elements, uncorrected at -0.5458 eV/atom.

8.
This record from Alexandria via LeMat-Bulk describes a relaxed structure of CoIrSe2. The functional is GGA-PBE.

Cell lengths 4.273, 3.742, 4.365 Å; angles 90.00, 98.82, 90.00 degrees
Space group P2/m (No. 10)
Asymmetric unit:
Co1 0.000 0.000 0.000 [1 per cell]
Ir1 0.500 0.000 0.500 [1 per cell]
Se1 0.273 0.500 0.770 [2 per cell]

Results
The calculation puts the energy relative to the elements, uncorrected at 0.4134 eV/atom. The value obtained for the relative energy among the computed polymorphs is 508 meV/atom.